No. 1
Cd2InCu | GGA-PBE | optimized geometry

Cell: 4.329 4.329 4.346 Å, 90.00 90.00 90.00°
Element x y z (fractional)
Cd1 0.000 0.500 0.000
Cd2 0.500 0.000 0.000
In1 0.000 0.000 0.500
Cu1 0.500 0.500 0.500

No. 2
Cd2InCu | GGA-PBE | optimized geometry

Cell: 6.830 6.830 4.573 Å, 109.23 109.23 24.96°
Element x y z (fractional)
Cd1 0.194 0.194 0.195
Cd2 0.806 0.806 0.805
In1 0.000 0.000 0.500
Cu1 0.500 0.500 0.000

No. 3
CdInCu2 | GGA-PBE | optimized geometry

Cell: 3.185 4.328 5.202 Å, 90.00 102.96 90.00°
Element x y z (fractional)
Cd1 0.000 0.000 0.000
In1 0.241 0.500 0.624
Cu1 0.552 0.500 0.170
Cu2 0.679 0.000 0.447

No. 4
CdInCu2 | GGA-PBE | optimized geometry

Cell: 4.768 4.768 5.258 Å, 100.80 100.80 36.57°
Element x y z (fractional)
Cd1 0.000 0.000 0.000
In1 0.500 0.500 0.500
Cu1 0.250 0.250 0.749
Cu2 0.750 0.750 0.251

No. 5
CdInCu2 | GGA-PBE | optimized geometry

Cell: 5.722 5.722 5.722 Å, 149.21 133.46 56.85°
Element x y z (fractional)
Cd1 0.000 0.000 0.000
In1 0.288 0.788 0.500
Cu1 0.540 0.540 0.000
Cu2 0.740 0.240 0.500

No. 6
Cd2InCu | GGA-PBE | optimized geometry

Cell: 7.736 7.736 7.736 Å, 28.47 28.47 28.47°
Element x y z (fractional)
Cd1 0.000 0.000 0.000
Cd2 0.195 0.195 0.195
In1 0.431 0.431 0.431
Cu1 0.597 0.597 0.597

| no. | calculated formation energy (eV/atom) |
| --- | --- |
| 1 | 0.13 |
| 2 | 0.04 |
| 3 | 0.07 |
| 4 | 0.18 |
| 5 | 0.09 |
| 6 | 0.20 |